A plane-wave DFT calculation with meta-GGA SCAN was carried out for Cu3Au2 at its PBEsol-relaxed geometry.

abc: 10.553 10.553 10.553
angles: 15.13 15.13 15.13
Element x y z (fractional)
Cu 0.000 0.000 0.000
Cu 0.197 0.197 0.197
Cu 0.803 0.803 0.803
Au 0.401 0.401 0.401
Au 0.599 0.599 0.599

Properties
* space-group type: No. 166
* raw total energy: -36.753 eV per atom
* energy relative to the elements: 3 kJ per mole of atoms
* distance to the lowest polymorph of the same formula: 80.3 meV per atom
* spin magnetization: 0.0 μB per cell